1.
Below is a geometry-optimized MnNbPt6 structure, with properties calculated at the PBE level.

Results
**Energy of formation**: -0.54 eV per atom

```
data_MnNbPt6
_chemical_formula_sum 'Mn1 Nb1 Pt6'
_cell_length_a 3.978
_cell_length_b 3.978
_cell_length_c 7.912
_cell_angle_alpha 90.00
_cell_angle_beta 90.00
_cell_angle_gamma 90.00
_symmetry_space_group_name_H-M 'P 1'
_symmetry_Int_Tables_number 1
loop_
_symmetry_equiv_pos_as_xyz
'x,y,z'
loop_
_atom_site_label
_atom_site_fract_x
_atom_site_fract_y
_atom_site_fract_z
Mn1 0.000 0.000 0.000
Nb1 0.000 0.000 0.500
Pt1 0.500 0.500 0.000
Pt2 0.500 0.500 0.500
Pt3 0.500 0.000 0.252
Pt4 0.500 0.000 0.748
Pt5 0.000 0.500 0.252
Pt6 0.000 0.500 0.748
```

=====

2.
Below is a geometry-optimized GaCu2I8 structure, with properties calculated at the PBE level.

Results
**Offset from the most stable computed form**: 9.3 meV per atom
**Formation energy (no corrections)**: -142 meV/atom

```
data_GaCu2I8
_chemical_formula_sum 'Ga1 Cu2 I8'
_cell_length_a 6.666
_cell_length_b 8.321
_cell_length_c 8.321
_cell_angle_alpha 90.56
_cell_angle_beta 82.98
_cell_angle_gamma 82.98
_symmetry_space_group_name_H-M 'P 1'
_symmetry_Int_Tables_number 1
loop_
_symmetry_equiv_pos_as_xyz
'x,y,z'
loop_
_atom_site_label
_atom_site_fract_x
_atom_site_fract_y
_atom_site_fract_z
I1 0.273 0.068 0.742
I2 0.273 0.742 0.068
I3 0.727 0.932 0.258
I4 0.318 0.586 0.586
I5 0.727 0.258 0.932
I6 0.149 0.231 0.231
I7 0.851 0.769 0.769
I8 0.682 0.414 0.414
Cu1 0.534 0.220 0.220
Cu2 0.466 0.780 0.780
Ga1 0.000 0.000 0.000
```

=====

3.
Below is a geometry-optimized MnCoP2W structure, with properties calculated at the PBE level.

Results
**Energy of formation**: 1.17 eV per atom

```
data_MnCoP2W
_chemical_formula_sum 'Mn1 Co1 P2 W1'
_cell_length_a 4.602
_cell_length_b 4.917
_cell_length_c 4.602
_cell_angle_alpha 90.00
_cell_angle_beta 90.00
_cell_angle_gamma 90.00
_symmetry_space_group_name_H-M 'P 1'
_symmetry_Int_Tables_number 1
loop_
_symmetry_equiv_pos_as_xyz
'x,y,z'
loop_
_atom_site_label
_atom_site_fract_x
_atom_site_fract_y
_atom_site_fract_z
P1 0.000 0.000 0.500
P2 0.500 0.000 0.000
Mn1 0.000 0.500 0.000
Co1 0.500 0.500 0.500
W1 0.000 0.000 0.000
```